1.
Computed, not measured: an optimized crystal structure of TcTeOs at the PBE-GGA level of DFT.

Unit cell a=3.0256 b=3.0256 c=6.4421 alpha=90.00 beta=90.00 gamma=120.00
Last column: nearest neighbours and their distance in Å.
Sites, in units of the cell vectors:
Tc 0.0000 0.0000 0.0000  3 Os 2.65, 3 Te 2.80
Te 0.6667 0.3333 0.3396  3 Tc 2.80, 3 Os 2.85, 6 Te 3.03
Os 0.3333 0.6667 0.6899  3 Tc 2.65, 3 Te 2.85

## Properties
For the raw formation energy, the calculation gives 0.605 eV/atom. For the mass density, the calculation gives 13520 kg/m3. For the size of the total moment, the calculation gives 0.0 μB/f.u. Its space group is No. 156.

---

2.
Computed, not measured: an optimized crystal structure of TcTeOs at the PBE-GGA level of DFT.

Unit cell a=4.3582 b=4.3582 c=4.3582 alpha=60.00 beta=60.00 gamma=60.00
Last column: nearest neighbours and their distance in Å.
Sites, in units of the cell vectors:
Tc 0.0000 0.0000 0.0000  4 Os 2.67
Te 0.5000 0.5000 0.5000  4 Os 2.67
Os 0.2500 0.2500 0.2500  4 Te 2.67, 4 Tc 2.67

## Properties
For the raw formation energy, the calculation gives 0.567 eV/atom. For the mass density, the calculation gives 11797 kg/m3. For the size of the total moment, the calculation gives 1.6 μB/f.u. Its space group is No. 216.

---

3.
Computed, not measured: an optimized crystal structure of TcTe2Os at the PBE-GGA level of DFT.

Unit cell a=3.2044 b=4.4298 c=5.4563 alpha=90.00 beta=90.00 gamma=90.00
Last column: nearest neighbours and their distance in Å.
Sites, in units of the cell vectors:
Tc 0.0000 0.0000 0.0000  4 Te 2.73
Te 0.0000 0.5000 0.5000  4 Os 2.73
Te 0.5000 0.5000 0.0000  4 Tc 2.73
Os 0.5000 0.0000 0.5000  4 Te 2.73

## Properties
For the raw formation energy, the calculation gives 1.086 eV/atom. For the mass density, the calculation gives 11651 kg/m3. For the size of the total moment, the calculation gives 0.0 μB/f.u. Its space group is No. 47.

---

4.
Computed, not measured: an optimized crystal structure of Tc2Te2Os at the PBE-GGA level of DFT.

Unit cell a=6.8197 b=6.8197 c=4.0177 alpha=90.00 beta=90.00 gamma=90.00
Last column: nearest neighbours and their distance in Å.
Sites, in units of the cell vectors:
Tc 0.1304 0.3696 0.0000  1 Tc 2.51, 2 Os 2.67, 2 Te 2.76
Tc 0.3696 0.8696 0.0000  1 Tc 2.51, 2 Os 2.67, 2 Te 2.76
Tc 0.6304 0.1304 0.0000  1 Tc 2.51, 2 Os 2.67, 2 Te 2.76
Tc 0.8696 0.6304 0.0000  1 Tc 2.51, 2 Os 2.67, 2 Te 2.76
Te 0.1735 0.6735 0.5000  6 Tc 2.76-2.90
Te 0.3265 0.1735 0.5000  6 Tc 2.76-2.90
Te 0.6735 0.8265 0.5000  6 Tc 2.76-2.90
Te 0.8265 0.3265 0.5000  6 Tc 2.76-2.90
Os 0.0000 0.0000 0.0000  4 Tc 2.67
Os 0.5000 0.5000 0.0000  4 Tc 2.67

## Properties
For the raw formation energy, the calculation gives 0.757 eV/atom. For the mass density, the calculation gives 11401 kg/m3. For the size of the total moment, the calculation gives 0.0 μB/f.u. Its space group is No. 127.

---

5.
Computed, not measured: an optimized crystal structure of TcTeOs at the PBE-GGA level of DFT.

Unit cell a=6.1632 b=6.1632 c=6.1632 alpha=151.71 beta=151.71 gamma=40.44
Last column: nearest neighbours and their distance in Å.
Sites, in units of the cell vectors:
Tc 0.0000 0.0000 0.0000  4 Os 2.62
Te 0.3189 0.3189 0.0000  4 Tc 2.99, 4 Te 3.01, 4 Os 3.04
Os 0.6318 0.6318 0.0000  4 Tc 2.62

## Properties
For the raw formation energy, the calculation gives 0.547 eV/atom. For the mass density, the calculation gives 13158 kg/m3. For the size of the total moment, the calculation gives 0.0 μB/f.u. Its space group is No. 107.

---

6.
Computed, not measured: an optimized crystal structure of TcTe2Os at the PBE-GGA level of DFT.

Unit cell a=8.3431 b=8.3431 c=8.3431 alpha=22.45 beta=22.45 gamma=22.45
Last column: nearest neighbours and their distance in Å.
Sites, in units of the cell vectors:
Tc 0.0000 0.0000 0.0000  6 Te 2.75
Te 0.2510 0.2510 0.2510  3 Tc 2.75, 3 Os 2.78
Te 0.7490 0.7490 0.7490  3 Tc 2.75, 3 Os 2.78
Os 0.5000 0.5000 0.5000  6 Te 2.78

## Properties
For the raw formation energy, the calculation gives 0.584 eV/atom. For the mass density, the calculation gives 12147 kg/m3. For the size of the total moment, the calculation gives 0.0 μB/f.u. Its space group is No. 166.

---

Repeat the third record exactly.
Computed, not measured: an optimized crystal structure of TcTe2Os at the PBE-GGA level of DFT.

Unit cell a=3.2044 b=4.4298 c=5.4563 alpha=90.00 beta=90.00 gamma=90.00
Last column: nearest neighbours and their distance in Å.
Sites, in units of the cell vectors:
Tc 0.0000 0.0000 0.0000  4 Te 2.73
Te 0.0000 0.5000 0.5000  4 Os 2.73
Te 0.5000 0.5000 0.0000  4 Tc 2.73
Os 0.5000 0.0000 0.5000  4 Te 2.73

## Properties
For the raw formation energy, the calculation gives 1.086 eV/atom. For the mass density, the calculation gives 11651 kg/m3. For the size of the total moment, the calculation gives 0.0 μB/f.u. Its space group is No. 47.